1:
Compound: Fe3ReSi
Source: Alexandria
Functional: PBE
Structure: relaxed

Output
crystal system = cubic
theoretical density = 9.1 g/cm3
density of states at the Fermi level = 1.27 states/eV/atom
total magnetic moment = 5.62 μB/f.u.

abc: 4.120 4.120 4.120
angles: 90.00 90.00 90.00
Atoms (fractional coordinates):
Re1 0.500 0.500 0.500
Fe1 0.500 0.000 0.000
Fe2 0.000 0.000 0.500
Fe3 0.000 0.500 0.000
Si1 0.000 0.000 0.000

***

2:
Compound: Fe3ReSi
Source: Alexandria
Functional: PBE
Structure: relaxed

Output
crystal system = cubic
theoretical density = 7.0 g/cm3
density of states at the Fermi level = 1.24 states/eV/atom
total magnetic moment = 5.30 μB/f.u.

abc: 4.482 4.482 4.482
angles: 90.00 90.00 90.00
Atoms (fractional coordinates):
Fe1 0.000 0.500 0.000
Fe2 0.500 0.000 0.000
Fe3 0.000 0.000 0.500
Re1 0.000 0.000 0.000
Si1 0.500 0.500 0.500

***

Which one is most stable, and which one is least stable? 1 is the most stable of them, while 2 is the least stable.